Record 1
# Pr4MgOs

Pr4MgOs after structural relaxation (GGA-PBE, Alexandria).

extended XYZ file:
```
24
Lattice="8.735 0.000 5.043 2.912 8.236 5.043 0.000 0.000 10.087" Properties=species:S:1:pos:R:3 pbc="T T T"
Pr 4.728 3.344 8.190
Pr 7.633 7.736 13.221
Os 7.128 5.040 7.828
Pr 7.625 1.570 6.966
Mg 2.001 1.415 6.621
Pr 2.221 1.570 10.087
Pr 6.531 4.618 15.130
Pr 4.022 6.666 13.207
Os 7.128 5.040 12.346
Pr 9.427 6.666 10.087
Pr 4.022 6.666 6.966
Mg 4.733 1.415 5.043
Pr 7.625 1.570 13.207
Mg 2.912 3.991 5.043
Pr 9.838 4.618 13.221
Pr 5.824 6.441 10.087
Os 3.215 5.040 10.087
Pr 8.014 3.343 10.087
Pr 4.728 3.344 11.984
Pr 9.838 4.618 17.040
Pr 7.633 7.736 17.040
Os 5.824 1.351 10.087
Mg 2.001 1.415 3.466
Pr 10.940 7.736 15.130
```

Values from the calculation:
energy above the lowest structure with this stoichiometry = 0 meV/atom
crystal system = cubic
formation enthalpy at 0 K = -104 meV per atom

Record 2
# PrMgOs4

PrMgOs4 after structural relaxation (GGA-PBE, Alexandria).

extended XYZ file:
```
6
Lattice="5.346 0.000 0.000 2.673 4.630 0.000 2.673 1.543 4.365" Properties=species:S:1:pos:R:3 pbc="T T T"
Os 5.346 1.535 2.731
Os 6.690 3.863 2.731
Mg 0.000 0.000 0.000
Os 4.003 3.863 2.731
Os 5.346 3.087 0.537
Pr 2.673 1.543 1.091
```

Values from the calculation:
crystal system = cubic
formation enthalpy at 0 K = 114 meV per atom

Record 3
# Pr6MgOs2

Pr6MgOs2 after structural relaxation (GGA-PBE, Alexandria).

extended XYZ file:
```
18
Lattice="8.322 -0.053 -3.067 -4.418 7.289 -2.452 -0.121 0.053 8.868" Properties=species:S:1:pos:R:3 pbc="T T T"
Pr 5.611 0.051 0.765
Mg 0.000 0.000 0.000
Os 2.608 0.000 1.845
Pr 1.184 5.272 3.820
Mg -2.270 3.671 3.208
Pr 5.543 1.716 -2.714
Pr -1.760 5.574 6.064
Pr -0.244 4.677 0.345
Pr 0.593 1.768 2.738
Pr -1.828 7.239 2.584
Os 2.356 2.821 5.366
Pr 3.190 5.521 0.612
Pr 4.326 5.219 -2.911
Pr -0.544 2.070 6.261
Pr 2.599 2.017 -0.470
Os 1.426 4.469 -2.016
Pr 4.027 2.613 3.005
Os 5.593 0.000 3.957
```

Values from the calculation:
crystal system = orthorhombic
formation enthalpy at 0 K = -74 meV per atom

Record 4
# Pr8Mg2Os

Pr8Mg2Os after structural relaxation (GGA-PBE, Alexandria).

extended XYZ file:
```
11
Lattice="-4.516 3.116 1.435 -3.006 -5.815 3.168 7.295 2.973 5.297" Properties=species:S:1:pos:R:3 pbc="T T T"
Pr 2.257 0.178 6.718
Mg -0.229 -2.366 4.415
Pr -2.205 -4.425 2.668
Pr -1.430 -0.009 6.727
Pr -3.574 -2.517 5.425
Pr 3.348 2.791 4.475
Mg 0.003 2.640 5.485
Pr 1.979 4.699 7.232
Os -2.258 1.558 0.717
Pr -2.483 0.096 3.182
Pr 1.204 0.283 3.173
```

Values from the calculation:
crystal system = monoclinic
formation enthalpy at 0 K = 4 meV per atom

Record 5
# PrMgScOs

PrMgScOs after structural relaxation (GGA-PBE, Alexandria).

extended XYZ file:
```
4
Lattice="-4.820 1.193 -0.069 -3.041 -1.746 3.517 -1.847 3.074 3.436" Properties=species:S:1:pos:R:3 pbc="T T T"
Mg -4.854 1.261 3.442
Sc -7.281 1.891 5.163
Os 0.000 0.000 0.000
Pr -2.427 0.630 1.721
```

Values from the calculation:
crystal system = cubic
formation enthalpy at 0 K = -41 meV per atom

Record 6
# PrMgSi2Os

PrMgSi2Os after structural relaxation (GGA-PBE, Alexandria).

extended XYZ file:
```
5
Lattice="4.101 0.000 0.000 0.000 4.101 0.000 -2.051 -2.051 5.481" Properties=species:S:1:pos:R:3 pbc="T T T"
Pr 0.000 0.000 0.000
Mg 0.000 2.051 2.740
Si 0.000 0.000 4.236
Si 2.051 2.051 1.244
Os 2.051 0.000 2.740
```

Values from the calculation:
uncorrected energy = -6.1476 eV per atom
crystal system = tetragonal

Record 7
# PrMgSi2Os2

PrMgSi2Os2 after structural relaxation (GGA-PBE, Alexandria).

extended XYZ file:
```
6
Lattice="-2.969 2.883 -0.994 0.984 -3.082 -2.765 -4.821 -4.014 2.758" Properties=species:S:1:pos:R:3 pbc="T T T"
Si -1.739 -2.264 -1.371
Mg -2.411 -2.007 1.379
Pr 0.000 0.000 0.000
Os -3.334 -0.507 -0.622
Si -5.067 -1.949 0.369
Os -3.471 -3.707 -0.380
```

Values from the calculation:
uncorrected energy = -7.0727 eV per atom
crystal system = trigonal

Record 8
# TbPrMgOs

TbPrMgOs after structural relaxation (GGA-PBE, Alexandria).

extended XYZ file:
```
4
Lattice="5.108 0.000 0.000 2.554 4.424 0.000 2.554 1.475 4.171" Properties=species:S:1:pos:R:3 pbc="T T T"
Tb 2.554 1.475 1.043
Os 5.108 2.949 2.085
Mg 0.000 0.000 0.000
Pr 7.662 4.424 3.128
```

Values from the calculation:
crystal system = cubic
formation enthalpy at 0 K = -28 meV per atom

Record 9
# PrThMgOs

PrThMgOs after structural relaxation (GGA-PBE, Alexandria).

extended XYZ file:
```
4
Lattice="5.192 0.000 0.000 2.596 4.497 0.000 2.596 1.499 4.239" Properties=species:S:1:pos:R:3 pbc="T T T"
Mg 0.000 0.000 0.000
Pr 2.596 1.499 1.060
Th 7.788 4.497 3.180
Os 5.192 2.998 2.120
```

Values from the calculation:
crystal system = cubic
formation enthalpy at 0 K = 33 meV per atom

Record 10
# Mg2OsPt

Mg2OsPt after structural relaxation (GGA-PBE, Alexandria).

extended XYZ file:
```
4
Lattice="-0.299 4.336 0.506 -1.841 -0.359 1.991 3.529 -0.217 3.952" Properties=species:S:1:pos:R:3 pbc="T T T"
Mg -1.788 -0.352 1.960
Pt 1.116 1.735 4.710
Os 0.272 2.024 1.738
Mg 0.791 -0.296 3.003
```

Values from the calculation:
crystal system = monoclinic
formation enthalpy at 0 K = -105 meV per atom

Record 11
# Mg2OsPt

Mg2OsPt after structural relaxation (GGA-PBE, Alexandria).

extended XYZ file:
```
4
Lattice="9.010 0.002 0.001 8.552 2.835 0.001 8.552 1.382 2.476" Properties=species:S:1:pos:R:3 pbc="T T T"
Os 6.529 1.055 0.620
Mg 13.055 2.109 1.239
Pt 19.586 3.165 1.859
Mg 0.003 0.000 0.000
```

Values from the calculation:
crystal system = trigonal
formation enthalpy at 0 K = -157 meV per atom

Record 12
# Mg2OsPt

Mg2OsPt after structural relaxation (GGA-PBE, Alexandria).

extended XYZ file:
```
4
Lattice="4.825 -0.002 -0.029 1.453 4.601 0.029 -3.122 -2.323 2.853" Properties=species:S:1:pos:R:3 pbc="T T T"
Os 2.421 -0.013 1.412
Mg 0.000 0.000 0.000
Pt 0.735 2.289 1.441
Mg 3.139 2.300 0.000
```

Values from the calculation:
crystal system = tetragonal
formation enthalpy at 0 K = -105 meV per atom